(1)
Pr2InSe2O2 after structural relaxation. Source: Alexandria, functional PBE.

Summary:
electronic total energy = -6.228 eV/atom
density = 6.25 g cm⁻³
energy relative to the elements, uncorrected = -14.41 eV per formula unit

a = 6.6272 Å, b = 6.6272 Å, c = 7.4145 Å
α = 121.25°, β = 121.25°, γ = 34.74°
Fractional positions:
Pr: 0.1853 0.1853 0.2475
Pr: 0.8147 0.8147 0.7525
In: 0.0000 0.0000 0.5000
Se: 0.4455 0.4455 0.1731
Se: 0.5545 0.5545 0.8269
O: 0.2119 0.2119 0.5917
O: 0.7881 0.7881 0.4083

***

(2)
PrInSe2O after structural relaxation. Source: Alexandria, functional PBE.

Summary:
electronic total energy = -5.614 eV/atom
density = 6.15 g cm⁻³
energy relative to the elements, uncorrected = -8.62 eV per formula unit

a = 4.1268 Å, b = 4.1268 Å, c = 13.6196 Å
α = 90.00°, β = 90.00°, γ = 90.00°
Fractional positions:
Pr: 0.2500 0.2500 0.0881
Pr: 0.7500 0.7500 0.9119
In: 0.2500 0.2500 0.6103
In: 0.7500 0.7500 0.3897
Se: 0.2500 0.2500 0.4134
Se: 0.2500 0.2500 0.7972
Se: 0.7500 0.7500 0.2028
Se: 0.7500 0.7500 0.5866
O: 0.2500 0.7500 0.0000
O: 0.7500 0.2500 0.0000

***

(3)
Pr2SmInO after structural relaxation. Source: Alexandria, functional PBE.

Summary:
electronic total energy = -5.794 eV/atom
density = 7.52 g cm⁻³
energy relative to the elements, uncorrected = -7.00 eV per formula unit

a = 5.0371 Å, b = 5.0371 Å, c = 4.9020 Å
α = 90.00°, β = 90.00°, γ = 90.00°
Fractional positions:
Pr: 0.0000 0.5000 0.0000
Pr: 0.5000 0.0000 0.0000
Sm: 0.0000 0.0000 0.5000
In: 0.5000 0.5000 0.5000
O: 0.0000 0.0000 0.0000

***

(4)
PrSm12In4O3 after structural relaxation. Source: Alexandria, functional PBE.

Summary:
electronic total energy = -5.154 eV/atom
density = 7.80 g cm⁻³
energy relative to the elements, uncorrected = -15.84 eV per formula unit

a = 8.7850 Å, b = 8.7850 Å, c = 8.7850 Å
α = 109.47°, β = 109.47°, γ = 109.47°
Fractional positions:
Pr: 0.0000 0.0000 0.0000
Sm: 0.0000 0.2736 0.2736
Sm: 0.0000 0.7264 0.7264
Sm: 0.2500 0.5000 0.7500
Sm: 0.2500 0.7500 0.5000
Sm: 0.2736 0.0000 0.2736
Sm: 0.2736 0.2736 0.0000
Sm: 0.5000 0.2500 0.7500
Sm: 0.5000 0.7500 0.2500
Sm: 0.7264 0.0000 0.7264
Sm: 0.7264 0.7264 0.0000
Sm: 0.7500 0.2500 0.5000
Sm: 0.7500 0.5000 0.2500
In: 0.0000 0.0000 0.5000
In: 0.0000 0.5000 0.0000
In: 0.5000 0.0000 0.0000
In: 0.5000 0.5000 0.5000
O: 0.0000 0.5000 0.5000
O: 0.5000 0.0000 0.5000
O: 0.5000 0.5000 0.0000

***

(5)
PrSm2InO after structural relaxation. Source: Alexandria, functional PBE.

Summary:
electronic total energy = -5.793 eV/atom
density = 7.83 g cm⁻³
energy relative to the elements, uncorrected = -7.05 eV per formula unit

a = 4.9103 Å, b = 4.9103 Å, c = 5.0350 Å
α = 90.00°, β = 90.00°, γ = 90.00°
Fractional positions:
Pr: 0.0000 0.0000 0.0000
Sm: 0.0000 0.5000 0.5000
Sm: 0.5000 0.0000 0.5000
In: 0.5000 0.5000 0.0000
O: 0.0000 0.0000 0.5000

***

(6)
Pr4InSnO after structural relaxation. Source: Alexandria, functional PBE.

Summary:
electronic total energy = -5.548 eV/atom
density = 6.64 g cm⁻³
energy relative to the elements, uncorrected = -8.02 eV per formula unit

a = 9.4252 Å, b = 9.4252 Å, c = 6.7975 Å
α = 90.00°, β = 90.00°, γ = 137.65°
Fractional positions:
Pr: 0.0000 0.5000 0.0000
Pr: 0.0000 0.5000 0.5000
Pr: 0.0686 0.9314 0.7500
Pr: 0.4202 0.5798 0.7500
Pr: 0.5000 0.0000 0.0000
Pr: 0.5000 0.0000 0.5000
Pr: 0.5798 0.4202 0.2500
Pr: 0.9314 0.0686 0.2500
In: 0.1136 0.8864 0.2500
In: 0.8864 0.1136 0.7500
Sn: 0.3895 0.6105 0.2500
Sn: 0.6105 0.3895 0.7500
O: 0.2727 0.7273 0.7500
O: 0.7273 0.2727 0.2500

***

(7)
PrTaIn2O8 after structural relaxation. Source: Alexandria, functional PBE.

Summary:
electronic total energy = -7.150 eV/atom
density = 6.59 g cm⁻³
energy relative to the elements, uncorrected = -24.02 eV per formula unit

a = 4.9625 Å, b = 4.9625 Å, c = 6.9566 Å
α = 90.00°, β = 90.00°, γ = 90.62°
Fractional positions:
Pr: 0.0000 0.0000 0.0000
Ta: 0.0000 0.0000 0.5000
In: 0.5000 0.5000 0.2609
In: 0.5000 0.5000 0.7391
O: 0.1919 0.1919 0.2896
O: 0.1919 0.1919 0.7104
O: 0.2887 0.7113 0.5000
O: 0.3254 0.6746 0.0000
O: 0.6746 0.3254 0.0000
O: 0.7113 0.2887 0.5000
O: 0.8081 0.8081 0.2896
O: 0.8081 0.8081 0.7104

***

(8)
TbPr12In4O3 after structural relaxation. Source: Alexandria, functional PBE.

Summary:
electronic total energy = -5.173 eV/atom
density = 6.91 g cm⁻³
energy relative to the elements, uncorrected = -15.64 eV per formula unit

a = 9.0262 Å, b = 9.0262 Å, c = 9.0262 Å
α = 109.47°, β = 109.47°, γ = 109.47°
Fractional positions:
Tb: 0.0000 0.0000 0.0000
Pr: 0.0000 0.2748 0.2748
Pr: 0.0000 0.7252 0.7252
Pr: 0.2500 0.5000 0.7500
Pr: 0.2500 0.7500 0.5000
Pr: 0.2748 0.0000 0.2748
Pr: 0.2748 0.2748 0.0000
Pr: 0.5000 0.2500 0.7500
Pr: 0.5000 0.7500 0.2500
Pr: 0.7252 0.0000 0.7252
Pr: 0.7252 0.7252 0.0000
Pr: 0.7500 0.2500 0.5000
Pr: 0.7500 0.5000 0.2500
In: 0.0000 0.0000 0.5000
In: 0.0000 0.5000 0.0000
In: 0.5000 0.0000 0.0000
In: 0.5000 0.5000 0.5000
O: 0.0000 0.5000 0.5000
O: 0.5000 0.0000 0.5000
O: 0.5000 0.5000 0.0000

***

(9)
PrIn2TcO8 after structural relaxation. Source: Alexandria, functional PBE.

Summary:
electronic total energy = -6.728 eV/atom
density = 5.89 g cm⁻³
energy relative to the elements, uncorrected = -20.45 eV per formula unit

a = 4.9917 Å, b = 6.7433 Å, c = 4.9943 Å
α = 90.00°, β = 90.02°, γ = 90.00°
Fractional positions:
Pr: 0.0000 0.0000 0.0000
In: 0.5000 0.2539 0.5000
In: 0.5000 0.7461 0.5000
Tc: 0.0000 0.5000 0.0000
O: 0.1866 0.3003 0.8148
O: 0.1866 0.6997 0.8148
O: 0.2808 0.5000 0.2820
O: 0.3165 0.0000 0.3203
O: 0.6835 0.0000 0.6797
O: 0.7192 0.5000 0.7180
O: 0.8134 0.3003 0.1852
O: 0.8134 0.6997 0.1852

***

(10)
PrIn2TeO8 after structural relaxation. Source: Alexandria, functional PBE.

Summary:
electronic total energy = -6.009 eV/atom
density = 6.19 g cm⁻³
energy relative to the elements, uncorrected = -19.04 eV per formula unit

a = 4.9026 Å, b = 6.9843 Å, c = 4.9065 Å
α = 90.00°, β = 90.11°, γ = 90.00°
Fractional positions:
Pr: 0.0000 0.0000 0.0000
In: 0.5000 0.2646 0.5000
In: 0.5000 0.7354 0.5000
Te: 0.0000 0.5000 0.0000
O: 0.1870 0.2919 0.1877
O: 0.1870 0.7081 0.1877
O: 0.2855 0.5000 0.7155
O: 0.3295 0.0000 0.6726
O: 0.6705 0.0000 0.3274
O: 0.7145 0.5000 0.2845
O: 0.8130 0.2919 0.8123
O: 0.8130 0.7081 0.8123

***

(11)
Pr12TlIn4O3 after structural relaxation. Source: Alexandria, functional PBE.

Summary:
electronic total energy = -5.198 eV/atom
density = 6.88 g cm⁻³
energy relative to the elements, uncorrected = -18.40 eV per formula unit

a = 9.1003 Å, b = 9.1003 Å, c = 9.1003 Å
α = 109.47°, β = 109.47°, γ = 109.47°
Fractional positions:
Pr: 0.0000 0.2749 0.2749
Pr: 0.0000 0.7251 0.7251
Pr: 0.2500 0.5000 0.7500
Pr: 0.2500 0.7500 0.5000
Pr: 0.2749 0.0000 0.2749
Pr: 0.2749 0.2749 0.0000
Pr: 0.5000 0.2500 0.7500
Pr: 0.5000 0.7500 0.2500
Pr: 0.7251 0.0000 0.7251
Pr: 0.7251 0.7251 0.0000
Pr: 0.7500 0.2500 0.5000
Pr: 0.7500 0.5000 0.2500
Tl: 0.0000 0.0000 0.0000
In: 0.0000 0.0000 0.5000
In: 0.0000 0.5000 0.0000
In: 0.5000 0.0000 0.0000
In: 0.5000 0.5000 0.5000
O: 0.0000 0.5000 0.5000
O: 0.5000 0.0000 0.5000
O: 0.5000 0.5000 0.0000

***

(12)
Pr2TlInO6 after structural relaxation. Source: Alexandria, functional PBE.

Summary:
electronic total energy = -6.640 eV/atom
density = 7.80 g cm⁻³
energy relative to the elements, uncorrected = -21.98 eV per formula unit

a = 5.7599 Å, b = 6.0878 Å, c = 10.2137 Å
α = 90.00°, β = 124.01°, γ = 90.00°
Fractional positions:
Pr: 0.2267 0.0637 0.2481
Pr: 0.2267 0.4363 0.7481
Pr: 0.7733 0.5637 0.2519
Pr: 0.7733 0.9363 0.7519
Tl: 0.0000 0.0000 0.5000
Tl: 0.0000 0.5000 0.0000
In: 0.5000 0.0000 0.0000
In: 0.5000 0.5000 0.5000
O: 0.1297 0.1878 0.9331
O: 0.1297 0.3122 0.4331
O: 0.2390 0.6999 0.9259
O: 0.2390 0.8001 0.4259
O: 0.3925 0.0614 0.7579
O: 0.3925 0.4386 0.2579
O: 0.6075 0.5614 0.7421
O: 0.6075 0.9386 0.2421
O: 0.7610 0.1999 0.5741
O: 0.7610 0.3001 0.0741
O: 0.8703 0.6878 0.5669
O: 0.8703 0.8122 0.0669

***

(13)
Pr12Tl4InO3 after structural relaxation. Source: Alexandria, functional PBE.

Summary:
electronic total energy = -5.100 eV/atom
density = 7.65 g cm⁻³
energy relative to the elements, uncorrected = -17.57 eV per formula unit

a = 9.0977 Å, b = 9.0977 Å, c = 9.0977 Å
α = 109.47°, β = 109.47°, γ = 109.47°
Fractional positions:
Pr: 0.0000 0.2738 0.2738
Pr: 0.0000 0.7262 0.7262
Pr: 0.2500 0.5000 0.7500
Pr: 0.2500 0.7500 0.5000
Pr: 0.2738 0.0000 0.2738
Pr: 0.2738 0.2738 0.0000
Pr: 0.5000 0.2500 0.7500
Pr: 0.5000 0.7500 0.2500
Pr: 0.7262 0.0000 0.7262
Pr: 0.7262 0.7262 0.0000
Pr: 0.7500 0.2500 0.5000
Pr: 0.7500 0.5000 0.2500
Tl: 0.0000 0.0000 0.5000
Tl: 0.0000 0.5000 0.0000
Tl: 0.5000 0.0000 0.0000
Tl: 0.5000 0.5000 0.5000
In: 0.0000 0.0000 0.0000
O: 0.0000 0.5000 0.5000
O: 0.5000 0.0000 0.5000
O: 0.5000 0.5000 0.0000

***

(14)
PrUIn2O8 after structural relaxation. Source: Alexandria, functional PBE.

Summary:
electronic total energy = -7.388 eV/atom
density = 6.84 g cm⁻³
energy relative to the elements, uncorrected = -27.45 eV per formula unit

a = 5.0287 Å, b = 5.0287 Å, c = 7.0735 Å
α = 90.00°, β = 90.00°, γ = 90.23°
Fractional positions:
Pr: 0.0000 0.0000 0.0000
U: 0.0000 0.0000 0.5000
In: 0.5000 0.5000 0.2575
In: 0.5000 0.5000 0.7425
O: 0.1916 0.1916 0.2799
O: 0.1916 0.1916 0.7201
O: 0.2999 0.7001 0.5000
O: 0.3252 0.6748 0.0000
O: 0.6748 0.3252 0.0000
O: 0.7001 0.2999 0.5000
O: 0.8084 0.8084 0.2799
O: 0.8084 0.8084 0.7201